No. 1
CrRe2ClO PBE with a Hubbard U relaxed; M_tot = 0.151 μB per atom; V = 82.3 Å³/f.u.
1.0
-3.342 -0.334 -2.856
2.367 -2.492 -2.478
-1.484 -3.550 2.151
Re Cl O Cr
2 1 1 1
Direct
0.000 0.000 0.500 Re
0.500 0.000 0.000 Re
0.000 0.000 0.000 Cl
0.000 0.500 0.000 O
0.500 0.500 0.500 Cr

=====

No. 2
CrS2ClO PBE with a Hubbard U relaxed; M_tot = 0.000 μB per atom; V = 88.8 Å³/f.u.
1.0
-0.406 -3.707 -2.306
3.777 -1.461 1.683
-2.307 -1.928 3.504
Cr S O Cl
1 2 1 1
Direct
0.000 0.000 0.000 Cr
0.000 0.500 0.000 S
0.500 0.000 0.000 S
0.500 0.500 0.500 O
0.000 0.000 0.500 Cl

=====

Going through the records in order, we get mass density values of 9.6, 3.1 Mg/m³.
Going through the records in order, we get Fermi-level density of states values of 3.18, 7.15 states/eV/cell.
Going through the records in order, we get electronic total energy values of -30.25, -17.34 eV per cell.